Entry from the Alexandria database: a geometry-optimized MnCu2Rh structure (PBE-GGA).

Summary:
Its formation energy from the elements is 0.2233 eV/atom. For the total moment, the calculation gives 3.5 μB/f.u. The calculation puts the energy at -5.96 eV per atom.

Cell: 2.7566 4.3786 8.6935 Å, 90.00 90.00 90.00°
Atoms (fractional coordinates):
Mn (0.0000, 0.0000, 0.0000)
Mn (0.5000, 0.5000, 0.0000)
Cu (0.0000, 0.5000, 0.2440)
Cu (0.0000, 0.5000, 0.7560)
Cu (0.5000, 0.0000, 0.2440)
Cu (0.5000, 0.0000, 0.7560)
Rh (0.0000, 0.0000, 0.5000)
Rh (0.5000, 0.5000, 0.5000)


Entry from the Alexandria database: a geometry-optimized MnCu2Rh5 structure (PBE-GGA).

Summary:
Its formation energy from the elements is -0.0263 eV/atom. For the total moment, the calculation gives 2.2 μB/f.u. The calculation puts the energy at -6.79 eV per atom.

Cell: 3.8340 3.8340 14.7684 Å, 90.00 90.00 90.00°
Atoms (fractional coordinates):
Mn (0.0000, 0.0000, 0.0000)
Mn (0.5000, 0.5000, 0.5000)
Cu (0.0000, 0.0000, 0.2499)
Cu (0.0000, 0.0000, 0.7501)
Cu (0.5000, 0.5000, 0.2501)
Cu (0.5000, 0.5000, 0.7499)
Rh (0.0000, 0.0000, 0.5000)
Rh (0.0000, 0.5000, 0.1249)
Rh (0.0000, 0.5000, 0.3751)
Rh (0.0000, 0.5000, 0.6249)
Rh (0.0000, 0.5000, 0.8751)
Rh (0.5000, 0.0000, 0.1249)
Rh (0.5000, 0.0000, 0.3751)
Rh (0.5000, 0.0000, 0.6249)
Rh (0.5000, 0.0000, 0.8751)
Rh (0.5000, 0.5000, 0.0000)


Please write out number 2 again, unchanged.
Entry from the Alexandria database: a geometry-optimized MnCu2Rh5 structure (PBE-GGA).

Summary:
Its formation energy from the elements is -0.0263 eV/atom. For the total moment, the calculation gives 2.2 μB/f.u. The calculation puts the energy at -6.79 eV per atom.

Cell: 3.8340 3.8340 14.7684 Å, 90.00 90.00 90.00°
Atoms (fractional coordinates):
Mn (0.0000, 0.0000, 0.0000)
Mn (0.5000, 0.5000, 0.5000)
Cu (0.0000, 0.0000, 0.2499)
Cu (0.0000, 0.0000, 0.7501)
Cu (0.5000, 0.5000, 0.2501)
Cu (0.5000, 0.5000, 0.7499)
Rh (0.0000, 0.0000, 0.5000)
Rh (0.0000, 0.5000, 0.1249)
Rh (0.0000, 0.5000, 0.3751)
Rh (0.0000, 0.5000, 0.6249)
Rh (0.0000, 0.5000, 0.8751)
Rh (0.5000, 0.0000, 0.1249)
Rh (0.5000, 0.0000, 0.3751)
Rh (0.5000, 0.0000, 0.6249)
Rh (0.5000, 0.0000, 0.8751)
Rh (0.5000, 0.5000, 0.0000)


Question: Which value of total moment does entry 2 give?
Answer: 2.2 μB/f.u.


Question: Which formula does entry 2 have?
Answer: MnCu2Rh5


Question: Which value of total moment does entry 2 give?
Answer: 2.2 μB/f.u.